# 1
VPdRu2 | GGA-PBE | relaxed

abc: 3.7437 3.7437 17.7091
angles: 90.00 90.00 90.00
Closest atoms and distances in Å follow each position.
Space group I-42d (No. 122)
Inequivalent atoms, fractional coordinates:
V  0.0000  0.0000  0.0000 (multiplicity 4)  4 Ru 2.54, 4 Pd 2.65
Pd  0.0000  0.0000  0.5000 (multiplicity 4)  4 Ru 2.62, 4 V 2.65
Ru  0.2217  0.2500  0.1250 (multiplicity 8)  4 Ru 2.50-2.80, 2 V 2.54, 2 Pd 2.62

=====

# 2
V5PdRu6 | GGA-PBE | relaxed

abc: 4.1379 6.5455 12.2897
angles: 90.00 90.00 90.00
Closest atoms and distances in Å follow each position.
Space group Immm (No. 71)
Inequivalent atoms, fractional coordinates:
V  0.0000  0.0000  0.0000 (multiplicity 2)  8 Ru 2.52-2.57
V  0.0000  0.0000  0.3535 (multiplicity 4)  8 Ru 2.57-2.74, 2 Pd 2.74
V  0.0000  0.5000  0.3189 (multiplicity 4)  8 Ru 2.55-2.65
Pd  0.0000  0.5000  0.0000 (multiplicity 2)  4 V 2.74, 8 Ru 2.75-2.76
Ru  0.0000  0.2284  0.1704 (multiplicity 8)  7 V 2.55-2.74, 1 Pd 2.75
Ru  0.0000  0.2800  0.5000 (multiplicity 4)  6 V 2.52-2.65, 2 Pd 2.76

=====

# 3
VPdRu | GGA-PBE | relaxed

abc: 9.8489 2.7903 6.3957
angles: 90.00 103.38 90.00
Closest atoms and distances in Å follow each position.
Space group Cm (No. 8)
Inequivalent atoms, fractional coordinates:
V  0.0000  0.0000  0.0000 (multiplicity 2)  3 Ru 2.44-2.64, 2 Pd 2.70
V  0.1791  0.5000  0.3181 (multiplicity 2)  5 Ru 2.54-2.82, 3 Pd 2.72-2.83, 4 V 2.75-2.79
Pd  0.1213  0.5000  0.7315 (multiplicity 2)  5 Pd 2.68-2.79, 3 V 2.70-2.83, 4 Ru 2.75-2.81
Pd  0.3419  0.0000  0.6480 (multiplicity 2)  5 Pd 2.68-2.79, 4 V 2.72-2.80, 3 Ru 2.79-2.85
Ru  0.2865  0.0000  0.0658 (multiplicity 2)  5 V 2.54-2.76, 4 Ru 2.72-2.79, 2 Pd 2.75
Ru  0.4710  0.5000  0.3692 (multiplicity 2)  3 V 2.44-2.56, 2 Ru 2.72

=====

# 4
VPd2Ru | GGA-PBE | relaxed

abc: 3.7813 3.7813 4.0046
angles: 90.00 90.00 90.00
Closest atoms and distances in Å follow each position.
Space group P4/mmm (No. 123)
Inequivalent atoms, fractional coordinates:
V  0.0000  0.0000  0.0000 (multiplicity 1)  4 Ru 2.67, 8 Pd 2.75
Pd  0.0000  0.5000  0.5000 (multiplicity 2)  4 Pd 2.67, 4 Ru 2.75, 4 V 2.75
Ru  0.5000  0.5000  0.0000 (multiplicity 1)  4 V 2.67, 8 Pd 2.75

=====

Number 1: total energy -7.741 eV per atom. Number 2: total energy -9.072 eV per atom. Number 3: total energy -7.990 eV per atom. Number 4: total energy -7.318 eV per atom.